(1)
A geometry-optimized Ga3Mo4W2N3 structure, computed with PBE.

a b c (Å): 4.972 4.972 14.844
angles (deg): 99.56 99.56 59.36
Sites, in units of the cell vectors:
Ga1 0.083 0.917 0.750
Ga2 0.248 0.418 0.250
Ga3 0.418 0.248 0.750
Ga4 0.582 0.752 0.250
Ga5 0.752 0.582 0.750
Ga6 0.917 0.083 0.250
Mo1 0.028 0.199 0.597
Mo2 0.129 0.307 0.903
Mo3 0.199 0.028 0.097
Mo4 0.307 0.129 0.403
Mo5 0.693 0.871 0.597
Mo6 0.801 0.972 0.903
Mo7 0.871 0.693 0.097
Mo8 0.972 0.801 0.403
W1 0.357 0.535 0.597
W2 0.465 0.643 0.903
W3 0.535 0.357 0.097
W4 0.643 0.465 0.403
N1 0.000 0.500 0.500
N2 0.176 0.662 0.000
N3 0.338 0.824 0.500
N4 0.500 0.000 0.000
N5 0.662 0.176 0.500
N6 0.824 0.338 0.000

Output
SG = C2/c (15)



(2)
A geometry-optimized Cs2OsS3 structure, computed with PBE.

a b c (Å): 7.617 7.617 6.645
angles (deg): 90.00 90.00 74.07
Sites, in units of the cell vectors:
Cs1 0.006 0.675 0.750
Cs2 0.325 0.994 0.750
Cs3 0.675 0.006 0.250
Cs4 0.994 0.325 0.250
Os1 0.414 0.586 0.250
Os2 0.586 0.414 0.750
S1 0.168 0.832 0.250
S2 0.382 0.382 0.000
S3 0.382 0.382 0.500
S4 0.618 0.618 0.000
S5 0.618 0.618 0.500
S6 0.832 0.168 0.750

Output
SG = Cmcm (63)



(3)
A geometry-optimized Mg3Zr3Sc2 structure, computed with PBE.

a b c (Å): 5.044 6.550 6.550
angles (deg): 57.43 90.00 90.00
Sites, in units of the cell vectors:
Mg1 0.000 0.000 0.000
Mg2 0.500 0.165 0.654
Mg3 0.500 0.654 0.165
Zr1 0.000 0.505 0.984
Zr2 0.000 0.984 0.505
Zr3 0.500 0.668 0.668
Sc1 0.000 0.501 0.501
Sc2 0.500 0.168 0.168

Output
SG = Amm2 (38)



(4)
A geometry-optimized Na2Mg2NiSn2Pt structure, computed with PBE.

a b c (Å): 4.696 4.696 6.659
angles (deg): 90.00 90.00 90.00
Sites, in units of the cell vectors:
Na1 0.000 0.000 0.000
Na2 0.500 0.500 0.500
Mg1 0.000 0.500 0.249
Mg2 0.500 0.000 0.751
Ni1 0.000 0.000 0.500
Sn1 0.000 0.500 0.739
Sn2 0.500 0.000 0.261
Pt1 0.500 0.500 0.000

Output
SG = P-4m2 (115)



(5)
A geometry-optimized SmGdGa4Ni2 structure, computed with PBE.

a b c (Å): 4.097 9.004 9.004
angles (deg): 26.69 90.00 90.00
Sites, in units of the cell vectors:
Sm1 0.000 0.000 0.000
Gd1 0.000 0.717 0.717
Ga1 0.000 0.357 0.357
Ga2 0.500 0.150 0.150
Ga3 0.500 0.568 0.568
Ga4 0.500 0.857 0.857
Ni1 0.500 0.284 0.284
Ni2 0.500 0.432 0.432

Output
SG = Amm2 (38)



(6)
A geometry-optimized MgSi2Ir3 structure, computed with PBE.

a b c (Å): 4.065 4.065 5.732
angles (deg): 90.00 90.00 90.00
Sites, in units of the cell vectors:
Mg1 0.000 0.000 0.000
Si1 0.000 0.500 0.279
Si2 0.500 0.000 0.721
Ir1 0.000 0.000 0.500
Ir2 0.500 0.500 0.000
Ir3 0.500 0.500 0.500

Output
SG = P-4m2 (115)



(7)
A geometry-optimized TmSiPd2 structure, computed with PBE.

a b c (Å): 4.174 6.063 5.600
angles (deg): 90.00 90.00 90.00
Sites, in units of the cell vectors:
Tm1 0.000 0.084 0.000
Tm2 0.500 0.916 0.500
Si1 0.000 0.609 0.762
Si2 0.500 0.391 0.262
Pd1 0.000 0.256 0.484
Pd2 0.000 0.664 0.291
Pd3 0.500 0.336 0.791
Pd4 0.500 0.744 0.984

Output
SG = Pmn2_1 (31)



(8)
A geometry-optimized PrNbGa structure, computed with PBE.

a b c (Å): 4.726 4.726 4.726
angles (deg): 60.00 60.00 60.00
Sites, in units of the cell vectors:
Pr1 0.000 0.000 0.000
Nb1 0.500 0.500 0.500
Ga1 0.750 0.750 0.750

Output
SG = F-43m (216)



no.,total DFT energy (no corrections) (eV per atom)
1,-8.6825
2,-4.8571
3,-5.3273
4,-3.4100
5,-4.7239
6,-6.9832
7,-5.8411
8,-5.6791